Crystalline TbW4S8 at its relaxed geometry, computed with PBE.

Calculated values
The calculation puts the calculated volume at 19.778 A^3/atom. The uncorrected formation energy comes out at -0.6316 eV per atom. The calculation puts the density of states at the Fermi level at 0.58 states/eV per atom.

a b c (Å): 6.5875 6.5875 20.5247
angles (deg): 90.00 90.00 120.00
Closest atoms and distances in Å follow each position.
Space group R-3m (No. 166, hexagonal axes)
Inequivalent atoms, fractional coordinates:
Tb  0.0000  0.0000  0.0000  6 S 2.69
W  0.0000  0.0000  0.5000  6 S 2.43
W  0.0000  0.5000  0.5000  6 S 2.45-2.48
S  0.0000  0.0000  0.2417  3 W 2.45
S  0.0080  0.5040  0.2429  3 W 2.43-2.48, 1 Tb 2.69

***

Crystalline TbY2S at its relaxed geometry, computed with PBE.

Calculated values
The calculation puts the calculated volume at 27.958 A^3/atom. The uncorrected formation energy comes out at -0.9642 eV per atom. The calculation puts the density of states at the Fermi level at 0.63 states/eV per atom. The energy above the lowest structure with this stoichiometry comes out at 0 meV per atom.

a b c (Å): 3.7446 3.7446 27.6272
angles (deg): 90.00 90.00 120.00
Closest atoms and distances in Å follow each position.
Space group R3m (No. 160, hexagonal axes)
Inequivalent atoms, fractional coordinates:
Tb  0.0000  0.0000  0.0000  6 Y 3.63-3.65, 6 Tb 3.74
Y  0.0000  0.0000  0.5613  3 S 2.74
Y  0.0000  0.0000  0.7730  3 S 2.74
S  0.0000  0.0000  0.1671  6 Y 2.74

***

Crystalline TbY3S6 at its relaxed geometry, computed with PBE.

Calculated values
The calculation puts the calculated volume at 25.715 A^3/atom. The uncorrected formation energy comes out at -2.0641 eV per atom. The calculation puts the density of states at the Fermi level at 0.00 states/eV per atom. The energy above the lowest structure with this stoichiometry comes out at 12 meV per atom.

a b c (Å): 6.9293 6.9293 18.5522
angles (deg): 90.00 90.00 120.00
Closest atoms and distances in Å follow each position.
Space group R3 (No. 146, hexagonal axes)
Inequivalent atoms, fractional coordinates:
Tb  0.0000  0.0000  0.0000  6 S 2.73-2.80
Y  0.0000  0.0000  0.2013  6 S 2.72-2.79
Y  0.0000  0.0000  0.5005  6 S 2.72-2.79
Y  0.0000  0.0000  0.7016  6 S 2.72-2.79
S  0.9997  0.6990  0.1011  3 Y 2.72-2.79, 1 Tb 2.80
S  0.0340  0.3657  0.2677  3 Y 2.72-2.79, 1 Tb 2.73